Record 1
Pa2GeO3: optimized geometry, PBE.

Lattice parameters (Å, degrees): 5.8781 5.8781 3.4073 90.00 90.00 120.00
With the nearest neighbours (Å) after each atom.
Space group P6/mmm (No. 191)
One atom of each set of equivalent atoms:
Pa1 0.3333 0.6667 0.0000  6 O 2.40
Ge1 0.0000 0.0000 0.0000  6 Pa 3.39, 12 O 3.40, 2 Ge 3.41
O1 0.0000 0.5000 0.5000  4 Pa 2.40



Record 2
AcTlNi: optimized geometry, PBE.

**Relative energy among the computed polymorphs**: 0 meV per atom

Lattice parameters (Å, degrees): 6.9418 6.9418 6.9418 90.00 90.00 90.00
With the nearest neighbours (Å) after each atom.
Space group F-43m (No. 216)
One atom of each set of equivalent atoms:
Ac1 0.0000 0.0000 0.0000  4 Ni 3.01
Tl1 0.0000 0.0000 0.5000  4 Ni 3.01
Ni1 0.2500 0.2500 0.2500  4 Ac 3.01, 4 Tl 3.01



Record 3
Zn2SnGeIr4: optimized geometry, PBE.

Lattice parameters (Å, degrees): 4.2090 4.2090 6.7449 90.00 90.00 90.00
With the nearest neighbours (Å) after each atom.
Space group P4/mmm (No. 123)
One atom of each set of equivalent atoms:
Zn1 0.0000 0.0000 0.0000  8 Ir 2.63
Zn2 0.5000 0.5000 0.5000  8 Ir 2.77, 4 Sn 2.98
Sn1 0.0000 0.0000 0.5000  8 Ir 2.77, 4 Zn 2.98
Ge1 0.5000 0.5000 0.0000  8 Ir 2.63
Ir1 0.0000 0.5000 0.2333  2 Ge 2.63, 4 Zn 2.63-2.77, 2 Sn 2.77



Record 4
TcMoIr6: optimized geometry, PBE.

**Formation energy from the elements**: -0.243 eV/atom

Lattice parameters (Å, degrees): 5.5323 5.5323 4.4001 90.00 90.00 120.00
With the nearest neighbours (Å) after each atom.
Space group P-6m2 (No. 187)
One atom of each set of equivalent atoms:
Tc1 0.0000 0.0000 0.0000  12 Ir 2.71-2.77
Mo1 0.6667 0.3333 0.5000  12 Ir 2.72-2.77
Ir1 0.0017 0.5009 0.0000  8 Ir 2.72-2.78, 2 Mo 2.72, 2 Tc 2.77
Ir2 0.1655 0.3310 0.5000  2 Tc 2.71, 8 Ir 2.72-2.79, 2 Mo 2.77



Record 5
Dy4TlInC2: optimized geometry, PBE.

Lattice parameters (Å, degrees): 3.5983 3.5983 16.3709 90.00 90.00 120.00
With the nearest neighbours (Å) after each atom.
Space group P-6m2 (No. 187)
One atom of each set of equivalent atoms:
Dy1 0.0000 0.0000 0.1670  3 C 2.48
Dy2 0.3333 0.6667 0.3328  3 C 2.48
Tl1 0.0000 0.0000 0.5000  6 Dy 3.44, 6 Tl 3.60
In1 0.3333 0.6667 0.0000  6 Dy 3.43, 6 In 3.60
C1 0.6667 0.3333 0.2501  6 Dy 2.48



Record 6
TbGeAu: optimized geometry, PBE.

Lattice parameters (Å, degrees): 7.3405 7.3405 4.1571 90.00 90.00 120.00
With the nearest neighbours (Å) after each atom.
Space group P-62m (No. 189)
One atom of each set of equivalent atoms:
Tb1 0.0000 0.6022 0.0000  5 Au 2.92-3.06, 2 Ge 3.24
Ge1 0.0000 0.2645 0.5000  4 Au 2.73-2.84
Au1 0.0000 0.0000 0.0000  6 Ge 2.84, 3 Tb 2.92
Au2 0.3333 0.6667 0.5000  3 Ge 2.73, 6 Tb 3.06



Record 7
FeAs: optimized geometry, PBE.

Lattice parameters (Å, degrees): 4.7102 3.7520 6.8306 90.00 90.00 90.00
With the nearest neighbours (Å) after each atom.
Space group Pmma (No. 51)
One atom of each set of equivalent atoms:
Fe1 0.0000 0.0000 0.0000  6 Fe 2.36-2.57, 4 As 2.51
Fe2 0.2500 0.5000 0.1922  5 As 2.35-2.49, 4 Fe 2.57
As1 0.2500 0.0000 0.3995  2 Fe 2.35
As2 0.2500 0.5000 0.8283  7 Fe 2.36-2.51



Record 8
Sm2Tl: optimized geometry, PBE.

Lattice parameters (Å, degrees): 9.0364 9.0364 9.0364 90.00 90.00 90.00
With the nearest neighbours (Å) after each atom.
Space group Fd-3m (No. 227, origin choice 2)
One atom of each set of equivalent atoms:
Sm1 0.0000 0.0000 0.0000  6 Sm 3.19
Tl1 0.1250 0.1250 0.6250  12 Sm 3.75, 4 Tl 3.91



One value per record, in order, for M_tot: 0.274 0.018 0.000 0.000 0.068 0.000 0.557 0.003 μB/atom.
One value per record, in order, for total energy: -48.391 -50.314 -47.988 -76.279 -44.946 -43.841 -52.405 -90.086 eV/cell.